Compound: BePOs
Source: Alexandria
Functional: PBE-GGA
Structure: relaxed Values from VASP.

Summary:
Electronic total energy   -6.7424 eV/atom
Excess energy over the best structure of this formula in the dataset   213 meV/atom
ΔH_f (0 K)   0.14 eV per formula unit
Calculated volume   12.52 Å³/atom
SG   P3m1, No. 156

The structure in Quantum ESPRESSO input format:
```
&SYSTEM
  ibrav = 0, nat = 3, ntyp = 3
/
ATOMIC_SPECIES
Be 9.01 Be.upf
P 30.97 P.upf
Os 190.23 Os.upf
ATOMIC_POSITIONS angstrom
Be 0.0000 0.0000 0.0000
P 0.0000 1.6352 3.5996
Os 1.4162 0.8176 1.8502
CELL_PARAMETERS angstrom
2.8323 0.0000 0.0000
-1.4162 2.4529 0.0000
0.0000 0.0000 5.4066
```